Arrangement 1

# Cd2SiTe

A geometry-optimized Cd2SiTe structure (GGA-PBEsol, Alexandria via LeMat-Bulk).

abc: 3.9398 4.7737 4.7737
angles: 90.00 90.00 90.00
Last column: nearest neighbours and their distance in Å.
Atoms (fractional coordinates):
Cd1 0.0000 0.0000 0.5000  4 Te 3.09, 4 Si 3.09, 4 Cd 3.38
Cd2 0.0000 0.5000 0.0000  4 Te 3.09, 4 Si 3.09, 4 Cd 3.38
Si1 0.5000 0.5000 0.5000  8 Cd 3.09, 4 Te 3.38
Te1 0.5000 0.0000 0.0000  8 Cd 3.09, 4 Si 3.38

Arrangement 2

# Cd2SiTe

A geometry-optimized Cd2SiTe structure (GGA-PBEsol, Alexandria via LeMat-Bulk).

abc: 3.8013 4.5316 5.2053
angles: 90.00 90.00 90.00
Last column: nearest neighbours and their distance in Å.
Atoms (fractional coordinates):
Cd1 0.0000 0.0000 0.0000  4 Cd 2.96, 4 Si 3.22
Cd2 0.5000 0.5000 0.0000  4 Cd 2.96, 4 Te 3.22
Si1 0.5000 0.0000 0.5000  4 Te 2.96, 4 Cd 3.22
Te1 0.0000 0.5000 0.5000  4 Si 2.96, 4 Cd 3.22

What is the stability order? It is arrangement 2, arrangement 1, from most stable to least stable.

Arrangement 1

# CdSi2Te

A geometry-optimized CdSi2Te structure (GGA-PBEsol, Alexandria via LeMat-Bulk).

abc: 2.9774 2.9774 9.2667
angles: 90.00 90.00 90.00
Last column: nearest neighbours and their distance in Å.
Atoms (fractional coordinates):
Cd1 0.5000 0.5000 0.5000  8 Si 2.95, 4 Cd 2.98
Si1 0.0000 0.0000 0.7227  4 Cd 2.95, 4 Si 2.98
Si2 0.0000 0.0000 0.2773  4 Cd 2.95, 4 Si 2.98
Te1 0.5000 0.5000 0.0000  4 Te 2.98, 8 Si 3.32

Arrangement 2

# CdSi2Te

A geometry-optimized CdSi2Te structure (GGA-PBEsol, Alexandria via LeMat-Bulk).

abc: 3.5959 3.5959 7.0378
angles: 90.00 90.00 90.00
Last column: nearest neighbours and their distance in Å.
Atoms (fractional coordinates):
Cd1 0.5000 0.5000 0.7367  1 Si 2.54
Si1 0.0000 0.0000 0.1494  4 Si 2.57, 1 Te 2.58
Si2 0.5000 0.5000 0.0975  1 Cd 2.54, 4 Si 2.57
Te1 0.0000 0.0000 0.5164  1 Si 2.58

Arrangement 3

# CdSi2Te

A geometry-optimized CdSi2Te structure (GGA-PBEsol, Alexandria via LeMat-Bulk).

abc: 3.5127 4.8579 4.8579
angles: 99.79 90.00 90.00
Last column: nearest neighbours and their distance in Å.
Atoms (fractional coordinates):
Cd1 0.5000 0.5000 0.5000  8 Si 3.00, 2 Te 3.13
Si1 0.0000 0.5000 0.0000  4 Te 3.00, 4 Cd 3.00, 2 Si 3.13
Si2 0.0000 0.0000 0.5000  4 Cd 3.00, 4 Te 3.00, 2 Si 3.13
Te1 0.5000 0.0000 0.0000  8 Si 3.00, 2 Cd 3.13

What is the stability order? It is arrangement 2, arrangement 3, arrangement 1, from most stable to least stable.

Arrangement 1

# Sr3Cd

A geometry-optimized Sr3Cd structure (GGA-PBEsol, Alexandria via LeMat-Bulk).

abc: 4.0422 4.0422 10.1434
angles: 90.00 90.00 90.00
Last column: nearest neighbours and their distance in Å.
Atoms (fractional coordinates):
Sr1 0.5000 0.5000 0.8113  4 Cd 3.44, 1 Sr 3.83
Sr2 0.0000 0.0000 0.5000  12 Sr 4.04-4.26
Sr3 0.5000 0.5000 0.1887  4 Cd 3.44, 1 Sr 3.83
Cd1 0.0000 0.0000 0.0000  8 Sr 3.44

Arrangement 2

# Sr3Cd

A geometry-optimized Sr3Cd structure (GGA-PBEsol, Alexandria via LeMat-Bulk).

abc: 4.1832 4.1832 11.6192
angles: 90.00 90.00 120.00
Last column: nearest neighbours and their distance in Å.
Atoms (fractional coordinates):
Sr1 0.0000 0.0000 0.5000  12 Sr 4.18-4.24
Sr2 0.3333 0.6667 0.8001  3 Cd 3.35
Sr3 0.3333 0.6667 0.1999  3 Cd 3.35
Cd1 0.0000 0.0000 0.0000  6 Sr 3.35

Arrangement 3

# Sr3Cd

A geometry-optimized Sr3Cd structure (GGA-PBEsol, Alexandria via LeMat-Bulk).

abc: 4.1713 6.2000 7.4192
angles: 114.70 106.33 90.00
Last column: nearest neighbours and their distance in Å.
Atoms (fractional coordinates):
Sr1 0.2970 0.7970 0.5940  2 Cd 3.34
Sr2 0.5000 0.5000 0.0000  4 Cd 3.74, 6 Sr 4.05-4.17
Sr3 0.7030 0.2030 0.4060  2 Cd 3.34
Cd1 0.0000 0.0000 0.0000  4 Sr 3.34

What is the stability order? It is arrangement 1, arrangement 3, arrangement 2, from most stable to least stable.